Record 1
## Cd2InPb (GGA-PBE)

Data for a geometry-optimized Cd2InPb structure.

Results
Energy above the most stable polymorph in this dataset ... 0.146 eV/f.u.
ΔE_f ... 0.0609 eV per atom
Crystal system ... monoclinic
Calculated volume ... 105.5 Å³/f.u.
Space-group type ... Cm (8)

Cell lengths 5.786, 5.786, 5.727 Å; angles 81.82, 81.82, 33.80 degrees
Element x y z (fractional)
Pb 0.254 0.254 0.247
Cd 0.005 0.005 0.991
Cd 0.745 0.745 0.753
In 0.497 0.497 0.509

=====

Record 2
## Pr2DyIn9 (GGA-PBE)

Data for a geometry-optimized Pr2DyIn9 structure.

Results
ΔE_f ... -0.4535 eV per atom
Crystal system ... tetragonal
Calculated volume ... 312.7 Å³/f.u.
Space-group type ... P4/mmm (123)

Cell lengths 4.708, 4.708, 14.109 Å; angles 90.00, 90.00, 90.00 degrees
Element x y z (fractional)
Pr 0.000 0.000 0.331
Pr 0.000 0.000 0.669
Dy 0.000 0.000 0.000
In 0.500 0.500 0.000
In 0.500 0.500 0.332
In 0.500 0.500 0.668
In 0.500 0.000 0.162
In 0.500 0.000 0.500
In 0.500 0.000 0.838
In 0.000 0.500 0.162
In 0.000 0.500 0.500
In 0.000 0.500 0.838

=====

Record 3
## La3Dy4Ho3 (GGA-PBE)

Data for a geometry-optimized La3Dy4Ho3 structure.

Results
ΔE_f ... 0.0845 eV per atom
Crystal system ... orthorhombic
Calculated volume ... 339.3 Å³/f.u.
Space-group type ... Amm2 (38)

Cell lengths 3.718, 9.553, 9.553 Å; angles 89.95, 90.00, 90.00 degrees
Element x y z (fractional)
La 0.000 0.507 0.004
La 0.000 0.996 0.493
La 0.500 0.173 0.827
Dy 0.000 0.625 0.375
Dy 0.000 0.380 0.620
Dy 0.000 0.870 0.880
Dy 0.000 0.120 0.130
Ho 0.500 0.826 0.174
Ho 0.500 0.330 0.327
Ho 0.500 0.673 0.670

=====

Record 4
## SmPaRe4 (GGA-PBE)

Data for a geometry-optimized SmPaRe4 structure.

Results
ΔE_f ... -0.0335 eV per atom
Crystal system ... cubic
Calculated volume ... 114.9 Å³/f.u.
Space-group type ... F-43m (216)

Cell lengths 5.457, 5.457, 5.457 Å; angles 60.00, 60.00, 60.00 degrees
Element x y z (fractional)
Re 0.625 0.625 0.125
Re 0.625 0.125 0.625
Re 0.625 0.625 0.625
Re 0.125 0.625 0.625
Pa 0.000 0.000 0.000
Sm 0.250 0.250 0.250

=====

Record 5
## TlIn2Hg (GGA-PBE)

Data for a geometry-optimized TlIn2Hg structure.

Results
ΔE_f ... 0.0173 eV per atom
Crystal system ... orthorhombic
Calculated volume ... 111.6 Å³/f.u.
Space-group type ... Cmmm (65)

Cell lengths 3.459, 3.459, 9.683 Å; angles 90.00, 90.00, 105.57 degrees
Element x y z (fractional)
Tl 0.500 0.500 0.250
Hg 0.500 0.500 0.750
In 0.000 0.000 0.984
In 0.000 0.000 0.516

=====

Record 6
## CeTh2TcC4 (GGA-PBE)

Data for a geometry-optimized CeTh2TcC4 structure.

Results
ΔE_f ... -0.0250 eV per atom
Crystal system ... orthorhombic
Calculated volume ... 141.0 Å³/f.u.
Space-group type ... Cmcm (63)

Cell lengths 3.626, 6.381, 12.715 Å; angles 90.00, 90.00, 106.51 degrees
Each line ends with the local moment (μB).
Element x y z (fractional)
Ce 0.094 0.188 0.750  0.62
Ce 0.906 0.812 0.250  0.62
Th 0.367 0.734 0.542  0.01
Th 0.633 0.266 0.042  0.01
Th 0.633 0.266 0.458  0.01
Th 0.367 0.734 0.958  0.01
Tc 0.832 0.663 0.750  0.11
Tc 0.168 0.337 0.250  0.11
C 0.268 0.536 0.135  0.00
C 0.732 0.464 0.635  0.00
C 0.732 0.464 0.865  0.00
C 0.268 0.536 0.365  0.00
C 0.000 0.000 0.500  -0.01
C 0.000 0.000 0.000  -0.01
C 0.418 0.835 0.750  -0.01
C 0.582 0.165 0.250  -0.01

=====

Record 7
## NdCdInCl6 (GGA-PBE)

Data for a geometry-optimized NdCdInCl6 structure.

Results
Crystal system ... trigonal
Raw formation energy ... -1.5553 eV/atom
Calculated volume ... 300.1 Å³/f.u.
Space-group type ... P-31c (163)

Cell lengths 7.076, 7.076, 13.840 Å; angles 90.00, 90.00, 120.00 degrees
Element x y z (fractional)
Nd 0.667 0.333 0.250
Nd 0.333 0.667 0.750
Cd 0.333 0.667 0.250
Cd 0.667 0.333 0.750
In 0.000 0.000 0.000
In 0.000 0.000 0.500
Cl 0.626 0.635 0.139
Cl 0.009 0.374 0.139
Cl 0.374 0.009 0.639
Cl 0.991 0.626 0.861
Cl 0.365 0.374 0.361
Cl 0.009 0.635 0.361
Cl 0.635 0.009 0.861
Cl 0.626 0.991 0.361
Cl 0.991 0.365 0.639
Cl 0.365 0.991 0.139
Cl 0.635 0.626 0.639
Cl 0.374 0.365 0.861

=====

Record 8
## Pm6TmSc2 (GGA-PBE)

Data for a geometry-optimized Pm6TmSc2 structure.

Results
Energy above the most stable polymorph in this dataset ... 0.262 eV/f.u.
ΔE_f ... 0.1616 eV per atom
Crystal system ... orthorhombic
Calculated volume ... 285.1 Å³/f.u.
Space-group type ... Cmmm (65)

Cell lengths 3.591, 9.809, 9.808 Å; angles 55.62, 89.99, 89.99 degrees
Element x y z (fractional)
Pm 0.000 0.512 0.155
Pm 0.000 0.845 0.488
Pm 0.000 0.488 0.845
Pm 0.500 0.683 0.317
Pm 0.000 0.155 0.512
Pm 0.500 0.317 0.683
Tm 0.000 0.000 0.000
Sc 0.500 0.176 0.176
Sc 0.500 0.824 0.824

=====

Record 9
## CeSbIr (GGA-PBE)

Data for a geometry-optimized CeSbIr structure.

Results
Crystal system ... orthorhombic
Raw formation energy ... -0.8215 eV/atom
Calculated volume ... 68.7 Å³/f.u.
Space-group type ... Imm2 (44)

Cell lengths 4.571, 5.939, 5.939 Å; angles 82.30, 67.37, 67.37 degrees
Each line ends with the local moment (μB).
Element x y z (fractional)
Ce 0.000 0.634 0.366  0.29
Ce 0.500 0.165 0.835  0.12
Sb 0.258 0.055 0.430  0.00
Sb 0.742 0.570 0.945  0.00
Ir 0.197 0.780 0.825  -0.02
Ir 0.803 0.175 0.220  -0.02

=====

Record 10
## Ca2Mg2Bi (GGA-PBE)

Data for a geometry-optimized Ca2Mg2Bi structure.

Results
ΔE_f ... -0.2415 eV per atom
Crystal system ... tetragonal
Calculated volume ... 154.8 Å³/f.u.
Space-group type ... P4/mbm (127)

Cell lengths 7.859, 7.859, 5.012 Å; angles 90.00, 90.00, 90.00 degrees
Element x y z (fractional)
Mg 0.370 0.870 0.000
Mg 0.870 0.630 0.000
Mg 0.630 0.130 0.000
Mg 0.130 0.370 0.000
Ca 0.171 0.671 0.500
Ca 0.671 0.829 0.500
Ca 0.829 0.329 0.500
Ca 0.329 0.171 0.500
Bi 0.000 0.000 0.000
Bi 0.500 0.500 0.000

=====

Record 11
## U2Fe3CoB12 (GGA-PBE)

Data for a geometry-optimized U2Fe3CoB12 structure.

Results
ΔE_f ... 0.0126 eV per atom
Crystal system ... trigonal
Calculated volume ... 182.5 Å³/f.u.
Space-group type ... R-3m (166)

Cell lengths 7.919, 7.919, 7.919 Å; angles 39.69, 39.69, 39.69 degrees
Each line ends with the local moment (μB).
Element x y z (fractional)
U 0.640 0.640 0.640  1.59
U 0.360 0.360 0.360  1.59
Fe 0.500 0.000 0.000  1.96
Fe 0.000 0.500 0.000  1.96
Fe 0.000 0.000 0.500  1.96
Co 0.000 0.000 0.000  0.19
B 0.349 0.349 0.025  -0.02
B 0.945 0.945 0.324  -0.01
B 0.324 0.945 0.945  -0.01
B 0.025 0.349 0.349  -0.02
B 0.945 0.324 0.945  -0.01
B 0.349 0.025 0.349  -0.02
B 0.651 0.651 0.975  -0.02
B 0.055 0.055 0.676  -0.01
B 0.676 0.055 0.055  -0.01
B 0.975 0.651 0.651  -0.02
B 0.055 0.676 0.055  -0.01
B 0.651 0.975 0.651  -0.02

=====

Record 12
## PC3Se (GGA-PBE)

Data for a geometry-optimized PC3Se structure.

Results
Energy above the most stable polymorph in this dataset ... 4.472 eV/f.u.
Crystal system ... cubic
Raw formation energy ... 3.0695 eV/atom
Calculated volume ... 58.3 Å³/f.u.
Space-group type ... Pm-3m (221)

Cell lengths 3.877, 3.877, 3.877 Å; angles 90.00, 90.00, 90.00 degrees
Element x y z (fractional)
P 0.500 0.500 0.500
C 0.000 0.500 0.000
C 0.000 0.000 0.500
C 0.500 0.000 0.000
Se 0.000 0.000 0.000

=====

Record 13
## TaVTcOs (GGA-PBE)

Data for a geometry-optimized TaVTcOs structure.

Results
ΔE_f ... -0.3390 eV per atom
Crystal system ... cubic
Calculated volume ... 60.4 Å³/f.u.
Space-group type ... F-43m (216)

Cell lengths 4.403, 4.403, 4.403 Å; angles 60.00, 60.00, 60.00 degrees
Element x y z (fractional)
V 0.500 0.500 0.500
Os 0.750 0.750 0.750
Tc 0.250 0.250 0.250
Ta 0.000 0.000 0.000

=====

Record 14
## MgSb2O (GGA-PBE)

Data for a geometry-optimized MgSb2O structure.

Results
Energy above the most stable polymorph in this dataset ... 1.521 eV/f.u.
Crystal system ... tetragonal
Raw formation energy ... -0.2186 eV/atom
Calculated volume ... 104.0 Å³/f.u.
Space-group type ... I-42d (122)

Cell lengths 5.457, 5.457, 7.980 Å; angles 70.01, 70.01, 90.00 degrees
Element x y z (fractional)
Sb 0.490 0.125 0.250
Sb 0.260 0.625 0.250
Sb 0.375 0.510 0.750
Sb 0.875 0.740 0.750
Mg 0.000 0.000 0.000
Mg 0.750 0.250 0.500
O 0.500 0.500 0.000
O 0.250 0.750 0.500

=====

Record 15
## PmLuCuRh (GGA-PBE)

Data for a geometry-optimized PmLuCuRh structure.

Results
ΔE_f ... -0.5285 eV per atom
Crystal system ... cubic
Calculated volume ... 83.1 Å³/f.u.
Space-group type ... F-43m (216)

Cell lengths 4.898, 4.898, 4.898 Å; angles 60.00, 60.00, 60.00 degrees
Element x y z (fractional)
Lu 0.500 0.500 0.500
Rh 0.750 0.750 0.750
Cu 0.250 0.250 0.250
Pm 0.000 0.000 0.000

=====

Record 16
## Ac2PaZnNi6 (GGA-PBE)

Data for a geometry-optimized Ac2PaZnNi6 structure.

Results
ΔE_f ... 0.1032 eV per atom
Crystal system ... cubic
Calculated volume ... 206.8 Å³/f.u.
Space-group type ... Fm-3m (225)

Cell lengths 6.638, 6.638, 6.638 Å; angles 60.00, 60.00, 90.00 degrees
Element x y z (fractional)
Ac 0.250 0.750 0.500
Ac 0.750 0.250 0.500
Pa 0.500 0.500 0.000
Zn 0.000 0.000 0.000
Ni 0.244 0.756 0.000
Ni 0.756 0.756 0.000
Ni 0.244 0.244 0.512
Ni 0.756 0.244 0.000
Ni 0.244 0.244 0.000
Ni 0.756 0.756 0.488

=====

Record 17
## TbPrNdHg (GGA-PBE)

Data for a geometry-optimized TbPrNdHg structure.

Results
Energy above the most stable polymorph in this dataset ... 0.643 eV/f.u.
ΔE_f ... -0.0728 eV per atom
Crystal system ... cubic
Calculated volume ... 120.9 Å³/f.u.
Space-group type ... F-43m (216)

Cell lengths 5.550, 5.550, 5.550 Å; angles 60.00, 60.00, 60.00 degrees
Element x y z (fractional)
Pr 0.000 0.000 0.000
Nd 0.500 0.500 0.500
Tb 0.750 0.750 0.750
Hg 0.250 0.250 0.250

=====

Record 18
## CePrGdLu (GGA-PBE)

Data for a geometry-optimized CePrGdLu structure.

Results
ΔE_f ... 0.2028 eV per atom
Crystal system ... cubic
Calculated volume ... 130.5 Å³/f.u.
Space-group type ... F-43m (216)

Cell lengths 5.694, 5.694, 5.694 Å; angles 60.00, 60.00, 60.00 degrees
Each line ends with the local moment (μB).
Element x y z (fractional)
Gd 0.750 0.750 0.750  7.21
Pr 0.250 0.250 0.250  -0.18
Lu 0.000 0.000 0.000  -0.05
Ce 0.500 0.500 0.500  -0.66

=====

Record 19
## Ba2BiSe3 (GGA-PBE)

Data for a geometry-optimized Ba2BiSe3 structure.

Results
Crystal system ... monoclinic
Raw formation energy ... -1.3613 eV/atom
Calculated volume ... 208.2 Å³/f.u.
Space-group type ... C2/c (15)

Cell lengths 6.676, 9.273, 7.859 Å; angles 107.15, 115.13, 90.00 degrees
Element x y z (fractional)
Ba 0.666 0.583 0.332
Ba 0.666 0.083 0.332
Ba 0.334 0.917 0.668
Ba 0.334 0.417 0.668
Bi 0.001 0.750 0.000
Bi 0.999 0.250 0.000
Se 0.498 0.250 0.000
Se 0.502 0.750 0.000
Se 0.152 0.076 0.303
Se 0.849 0.424 0.697
Se 0.151 0.576 0.303
Se 0.848 0.924 0.697

=====

Record 20
## Ac2PuCu3Sn4 (GGA-PBE)

Data for a geometry-optimized Ac2PuCu3Sn4 structure.

Results
ΔE_f ... -0.3324 eV per atom
Crystal system ... tetragonal
Calculated volume ... 257.4 Å³/f.u.
Space-group type ... P-4m2 (115)

Cell lengths 4.636, 4.636, 11.977 Å; angles 90.00, 90.00, 90.00 degrees
Each line ends with the local moment (μB).
Element x y z (fractional)
Ac 0.500 0.000 0.232  0.00
Ac 0.000 0.500 0.768  0.00
Pu 0.500 0.500 0.500  5.30
Cu 0.000 0.000 0.500  0.00
Cu 0.500 0.000 0.880  -0.01
Cu 0.000 0.500 0.120  -0.01
Sn 0.500 0.500 0.000  0.00
Sn 0.000 0.000 0.000  -0.01
Sn 0.500 0.000 0.662  -0.05
Sn 0.000 0.500 0.338  -0.05

=====

Record 21
## CdSbBr2 (GGA-PBE)

Data for a geometry-optimized CdSbBr2 structure.

Results
Energy above the most stable polymorph in this dataset ... 0.512 eV/f.u.
Crystal system ... trigonal
Raw formation energy ... -0.2136 eV/atom
Calculated volume ... 144.7 Å³/f.u.
Space-group type ... R-3m (166)

Cell lengths 12.264, 12.264, 12.264 Å; angles 17.45, 17.45, 17.45 degrees
Each line ends with the local moment (μB).
Element x y z (fractional)
Sb 0.750 0.750 0.750  0.09
Br 0.965 0.965 0.965  0.00
Br 0.535 0.535 0.535  0.00
Cd 0.250 0.250 0.250  0.00

=====

Record 22
## BeReBr (GGA-PBE)

Data for a geometry-optimized BeReBr structure.

Results
Energy above the most stable polymorph in this dataset ... 2.835 eV/f.u.
Crystal system ... cubic
Raw formation energy ... 1.6562 eV/atom
Calculated volume ... 47.2 Å³/f.u.
Space-group type ... F-43m (216)

Cell lengths 4.057, 4.057, 4.057 Å; angles 60.00, 60.00, 60.00 degrees
Element x y z (fractional)
Re 0.500 0.500 0.500
Br 0.000 0.000 0.000
Be 0.750 0.750 0.750

=====

Record 23
## AlTc2O8 (GGA-PBE)

Data for a geometry-optimized AlTc2O8 structure.

Results
Energy above the most stable polymorph in this dataset ... 0.000 eV/f.u.
Crystal system ... trigonal
Raw formation energy ... -1.6515 eV/atom
Calculated volume ... 175.1 Å³/f.u.
Space-group type ... P-3m1 (164)

Cell lengths 5.547, 5.547, 6.572 Å; angles 90.00, 90.00, 120.00 degrees
Each line ends with the local moment (μB).
Element x y z (fractional)
Al 0.000 0.000 0.500  0.00
Tc 0.333 0.667 0.761  0.35
Tc 0.667 0.333 0.239  0.35
O 0.667 0.333 0.977  0.03
O 0.333 0.667 0.023  0.03
O 0.320 0.160 0.332  0.03
O 0.680 0.840 0.668  0.03
O 0.160 0.840 0.668  0.03
O 0.840 0.160 0.332  0.03
O 0.840 0.680 0.332  0.03
O 0.160 0.320 0.668  0.03

=====

Record 24
## Ho5Bi2PtC (GGA-PBE)

Data for a geometry-optimized Ho5Bi2PtC structure.

Results
ΔE_f ... -0.6197 eV per atom
Crystal system ... tetragonal
Calculated volume ... 234.8 Å³/f.u.
Space-group type ... P4/mmm (123)

Cell lengths 4.649, 4.649, 10.861 Å; angles 90.00, 90.00, 90.00 degrees
Element x y z (fractional)
Ho 0.000 0.500 0.500
Ho 0.500 0.000 0.500
Ho 0.000 0.000 0.755
Ho 0.000 0.000 0.245
Ho 0.500 0.500 0.000
Bi 0.500 0.500 0.288
Bi 0.500 0.500 0.712
Pt 0.000 0.000 0.000
C 0.000 0.000 0.500